# ScCoBiPd (PBE, relaxed)
# Energy, hartree per atom: -0.2196
# Energy above the most stable polymorph in this dataset, eV per atom: 0.0000
# Crystal system: cubic
# Density, g cm⁻³: 9.78
# Space group: F-43m (216)
data_ScCoBiPd
_chemical_formula_sum 'Sc1 Co1 Bi1 Pd1'
_cell_length_a 4.6513
_cell_length_b 4.6513
_cell_length_c 4.6513
_cell_angle_alpha 60.00
_cell_angle_beta 60.00
_cell_angle_gamma 60.00
_symmetry_space_group_name_H-M 'P 1'
_symmetry_Int_Tables_number 1
_symmetry_space_group_name_Hall 'P 1'
loop_
_atom_site_label
_atom_site_type_symbol
_atom_site_fract_x
_atom_site_fract_y
_atom_site_fract_z
_atom_site_occupancy
Sc1 Sc 0.0000 0.0000 0.0000 1
Co1 Co 0.7500 0.7500 0.7500 1
Bi1 Bi 0.5000 0.5000 0.5000 1
Pd1 Pd 0.2500 0.2500 0.2500 1